Version i
A relaxed PaInAs2 crystal. Source: Alexandria via LeMat-Bulk, functional GGA-PBE.

Structure (CIF):
```
data_PaInAs2
_cell_length_a 4.727
_cell_length_b 4.727
_cell_length_c 3.794
_cell_angle_alpha 90.00
_cell_angle_beta 90.00
_cell_angle_gamma 90.00
_space_group_name_H-M_alt 'P 4/m m m'
_space_group_IT_number 123
_space_group_name_Hall '-P 4 2'
loop_
_atom_site_label
_atom_site_type_symbol
_atom_site_fract_x
_atom_site_fract_y
_atom_site_fract_z
Pa1 Pa 0.000 0.000 0.000
In1 In 0.500 0.500 0.000
As1 As 0.000 0.500 0.500
```

Magnetization, μB/f.u.: 0.00
Crystal system: tetragonal

=====

Version ii
A relaxed PaInAs2 crystal. Source: Alexandria via LeMat-Bulk, functional GGA-PBE.

Structure (CIF):
```
data_PaInAs2
_cell_length_a 4.3046
_cell_length_b 4.3046
_cell_length_c 19.9094
_cell_angle_alpha 90.00
_cell_angle_beta 90.00
_cell_angle_gamma 120.00
_space_group_name_H-M_alt 'R 3 m'
_space_group_IT_number 160
_space_group_name_Hall 'R 3 -2"'
loop_
_atom_site_label
_atom_site_type_symbol
_atom_site_fract_x
_atom_site_fract_y
_atom_site_fract_z
Pa1 Pa 0.0000 0.0000 0.0000
In1 In 0.0000 0.0000 0.8324
As1 As 0.0000 0.0000 0.4131
As2 As 0.0000 0.0000 0.6034
```

Magnetization, μB/f.u.: 0.00
Crystal system: trigonal

=====

Version iii
A relaxed PaInAs2 crystal. Source: Alexandria via LeMat-Bulk, functional GGA-PBE.

Structure (CIF):
```
data_PaInAs2
_cell_length_a 4.1981
_cell_length_b 4.1981
_cell_length_c 25.9546
_cell_angle_alpha 90.00
_cell_angle_beta 90.00
_cell_angle_gamma 120.00
_space_group_name_H-M_alt 'R -3 m'
_space_group_IT_number 166
_space_group_name_Hall '-R 3 2"'
loop_
_atom_site_label
_atom_site_type_symbol
_atom_site_fract_x
_atom_site_fract_y
_atom_site_fract_z
Pa1 Pa 0.0000 0.0000 0.0000
In1 In 0.0000 0.0000 0.5000
As1 As 0.0000 0.0000 0.3904
```

Magnetization, μB/f.u.: 0.00
Crystal system: trigonal

=====

Most stable: version i (next structure +101 meV/atom)

=====

Version i
A relaxed Pa2InAs crystal. Source: Alexandria via LeMat-Bulk, functional GGA-PBE.

Structure (CIF):
```
data_Pa2InAs
_cell_length_a 3.426
_cell_length_b 3.426
_cell_length_c 8.101
_cell_angle_alpha 90.00
_cell_angle_beta 90.00
_cell_angle_gamma 90.00
_space_group_name_H-M_alt 'P 4/m m m'
_space_group_IT_number 123
_space_group_name_Hall '-P 4 2'
loop_
_atom_site_label
_atom_site_type_symbol
_atom_site_fract_x
_atom_site_fract_y
_atom_site_fract_z
Pa1 Pa 0.000 0.000 0.218
In1 In 0.500 0.500 0.500
As1 As 0.500 0.500 0.000
```

Magnetization, μB/f.u.: 0.59
Crystal system: tetragonal

=====

Version ii
A relaxed Pa2InAs crystal. Source: Alexandria via LeMat-Bulk, functional GGA-PBE.

Structure (CIF):
```
data_Pa2InAs
_cell_length_a 3.6478
_cell_length_b 3.6478
_cell_length_c 26.8572
_cell_angle_alpha 90.00
_cell_angle_beta 90.00
_cell_angle_gamma 120.00
_space_group_name_H-M_alt 'R -3 m'
_space_group_IT_number 166
_space_group_name_Hall '-R 3 2"'
loop_
_atom_site_label
_atom_site_type_symbol
_atom_site_fract_x
_atom_site_fract_y
_atom_site_fract_z
Pa1 Pa 0.0000 0.0000 0.2379
In1 In 0.0000 0.0000 0.0000
As1 As 0.0000 0.0000 0.5000
```

Magnetization, μB/f.u.: 0.00
Crystal system: trigonal

=====

Most stable: version i (next structure +57 meV/atom)

=====

Version i
A relaxed In2AsPb2 crystal. Source: Alexandria via LeMat-Bulk, functional GGA-PBE.

Structure (CIF):
```
data_In2AsPb2
_cell_length_a 7.516
_cell_length_b 7.516
_cell_length_c 5.055
_cell_angle_alpha 90.00
_cell_angle_beta 90.00
_cell_angle_gamma 90.00
_space_group_name_H-M_alt 'P 4/m b m'
_space_group_IT_number 127
_space_group_name_Hall '-P 4 2ab'
loop_
_atom_site_label
_atom_site_type_symbol
_atom_site_fract_x
_atom_site_fract_y
_atom_site_fract_z
In1 In 0.142 0.358 0.000
As1 As 0.000 0.000 0.000
Pb1 Pb 0.173 0.673 0.500
```

Magnetization, μB/f.u.: 0.00
Crystal system: tetragonal

=====

Version ii
A relaxed In2AsPb2 crystal. Source: Alexandria via LeMat-Bulk, functional GGA-PBE.

Structure (CIF):
```
data_In2AsPb2
_cell_length_a 7.844
_cell_length_b 7.844
_cell_length_c 4.906
_cell_angle_alpha 90.00
_cell_angle_beta 90.00
_cell_angle_gamma 90.00
_space_group_name_H-M_alt 'P 4/m b m'
_space_group_IT_number 127
_space_group_name_Hall '-P 4 2ab'
loop_
_atom_site_label
_atom_site_type_symbol
_atom_site_fract_x
_atom_site_fract_y
_atom_site_fract_z
In1 In 0.161 0.339 0.000
As1 As 0.000 0.000 0.500
Pb1 Pb 0.149 0.649 0.500
```

Magnetization, μB/f.u.: 0.00
Crystal system: tetragonal

=====

Version iii
A relaxed In2AsPb2 crystal. Source: Alexandria via LeMat-Bulk, functional GGA-PBE.

Structure (CIF):
```
data_In2AsPb2
_cell_length_a 4.099
_cell_length_b 4.099
_cell_length_c 17.573
_cell_angle_alpha 90.00
_cell_angle_beta 90.00
_cell_angle_gamma 90.00
_space_group_name_H-M_alt 'I 4/m m m'
_space_group_IT_number 139
_space_group_name_Hall '-I 4 2'
loop_
_atom_site_label
_atom_site_type_symbol
_atom_site_fract_x
_atom_site_fract_y
_atom_site_fract_z
In1 In 0.000 0.500 0.250
As1 As 0.000 0.000 0.000
Pb1 Pb 0.000 0.000 0.410
```

Magnetization, μB/f.u.: 0.00
Crystal system: tetragonal

=====

Most stable: version i (next structure +48 meV/atom)

=====

Version i
A relaxed InAsPb2 crystal. Source: Alexandria via LeMat-Bulk, functional GGA-PBE.

Structure (CIF):
```
data_InAsPb2
_cell_length_a 3.342
_cell_length_b 5.176
_cell_length_c 6.515
_cell_angle_alpha 90.00
_cell_angle_beta 99.83
_cell_angle_gamma 90.00
_space_group_name_H-M_alt 'P 1 2/m 1'
_space_group_IT_number 10
loop_
_space_group_symop_operation_xyz
'x,y,z'
'-x,-y,-z'
'-x,y,-z'
'x,-y,z'
loop_
_atom_site_label
_atom_site_type_symbol
_atom_site_fract_x
_atom_site_fract_y
_atom_site_fract_z
In1 In 0.000 0.000 0.000
As1 As 0.000 0.000 0.500
Pb1 Pb 0.360 0.500 0.735
```

Magnetization, μB/f.u.: 0.00
Crystal system: monoclinic

=====

Version ii
A relaxed InAsPb2 crystal. Source: Alexandria via LeMat-Bulk, functional GGA-PBE.

Structure (CIF):
```
data_InAsPb2
_cell_length_a 6.734
_cell_length_b 6.734
_cell_length_c 13.101
_cell_angle_alpha 90.00
_cell_angle_beta 90.00
_cell_angle_gamma 90.00
_space_group_name_H-M_alt 'I -4 2 d'
_space_group_IT_number 122
_space_group_name_Hall 'I -4 2bw'
loop_
_atom_site_label
_atom_site_type_symbol
_atom_site_fract_x
_atom_site_fract_y
_atom_site_fract_z
In1 In 0.000 0.000 0.000
As1 As 0.000 0.000 0.500
Pb1 Pb 0.233 0.250 0.625
```

Magnetization, μB/f.u.: 0.00
Crystal system: tetragonal

=====

Version iii
A relaxed InAsPb2 crystal. Source: Alexandria via LeMat-Bulk, functional GGA-PBE.

Structure (CIF):
```
data_InAsPb2
_cell_length_a 3.884
_cell_length_b 3.884
_cell_length_c 7.429
_cell_angle_alpha 90.00
_cell_angle_beta 90.00
_cell_angle_gamma 90.00
_space_group_name_H-M_alt 'P 4/m m m'
_space_group_IT_number 123
_space_group_name_Hall '-P 4 2'
loop_
_atom_site_label
_atom_site_type_symbol
_atom_site_fract_x
_atom_site_fract_y
_atom_site_fract_z
In1 In 0.000 0.000 0.000
As1 As 0.000 0.000 0.500
Pb1 Pb 0.500 0.500 0.284
```

Magnetization, μB/f.u.: 0.00
Crystal system: tetragonal

=====

Version iv
A relaxed InAsPb2 crystal. Source: Alexandria via LeMat-Bulk, functional GGA-PBE.

Structure (CIF):
```
data_InAsPb2
_cell_length_a 3.301
_cell_length_b 5.079
_cell_length_c 6.879
_cell_angle_alpha 90.00
_cell_angle_beta 102.45
_cell_angle_gamma 90.00
_space_group_name_H-M_alt 'P 1 m 1'
_space_group_IT_number 6
loop_
_space_group_symop_operation_xyz
'x,y,z'
'x,-y,z'
loop_
_atom_site_label
_atom_site_type_symbol
_atom_site_fract_x
_atom_site_fract_y
_atom_site_fract_z
In1 In 0.000 0.000 0.000
As1 As 0.422 0.500 0.831
Pb1 Pb 0.280 0.000 0.546
Pb2 Pb 0.640 0.500 0.274
```

Magnetization, μB/f.u.: 0.00
Crystal system: monoclinic

=====

Most stable: version iii (next structure +24 meV/atom)

=====

Version i
A relaxed InAsPb2 crystal. Source: Alexandria via LeMat-Bulk, functional GGA-PBE.

Structure (CIF):
```
data_InAsPb2
_cell_length_a 3.955
_cell_length_b 3.955
_cell_length_c 7.060
_cell_angle_alpha 90.00
_cell_angle_beta 90.00
_cell_angle_gamma 90.00
_space_group_name_H-M_alt 'P 4 m m'
_space_group_IT_number 99
loop_
_space_group_symop_operation_xyz
'x,y,z'
'-y,x,z'
'-x,-y,z'
'y,-x,z'
'-x,y,z'
'y,x,z'
'x,-y,z'
'-y,-x,z'
loop_
_atom_site_label
_atom_site_type_symbol
_atom_site_fract_x
_atom_site_fract_y
_atom_site_fract_z
In1 In 0.000 0.000 0.000
As1 As 0.500 0.500 0.792
Pb1 Pb 0.000 0.000 0.564
Pb2 Pb 0.500 0.500 0.242
```

Magnetization, μB/f.u.: 0.00
Crystal system: tetragonal

=====

Version ii
A relaxed InAsPb2 crystal. Source: Alexandria via LeMat-Bulk, functional GGA-PBE.

Structure (CIF):
```
data_InAsPb2
_cell_length_a 5.019
_cell_length_b 5.019
_cell_length_c 4.399
_cell_angle_alpha 90.00
_cell_angle_beta 90.00
_cell_angle_gamma 90.00
_space_group_name_H-M_alt 'P 4/m m m'
_space_group_IT_number 123
_space_group_name_Hall '-P 4 2'
loop_
_atom_site_label
_atom_site_type_symbol
_atom_site_fract_x
_atom_site_fract_y
_atom_site_fract_z
In1 In 0.000 0.000 0.000
As1 As 0.500 0.500 0.000
Pb1 Pb 0.000 0.500 0.500
```

Magnetization, μB/f.u.: 0.00
Crystal system: tetragonal

=====

Most stable: version i (next structure +13 meV/atom)